Material: TeBrN2Cl
Method: DFT, PBE-GGA
State: optimized geometry

Unit cell a=4.2215 b=4.2215 c=8.7661 alpha=90.00 beta=90.00 gamma=90.00
Last column: nearest neighbours and their distance in Å.
Fractional coordinates of all 5 atoms:
Te (0.0000, 0.0000, 0.5000)  4 Br 2.99
N (0.0000, 0.5000, 0.0000)  2 Cl 2.11
N (0.5000, 0.0000, 0.0000)  2 Cl 2.11
Cl (0.0000, 0.0000, 0.0000)  4 N 2.11
Br (0.5000, 0.5000, 0.5000)  4 Te 2.99

Properties
total DFT energy (no corrections)	-2.6045	eV per atom
Fermi-level density of states	2.86	states/eV/f.u.
total magnetization	4.08	μB per formula unit
SG	P4/mmm